1.
First-principles (PBE) data for a geometry-optimized RbNa4I5 structure, as listed in Alexandria via LeMat-Bulk.

Geometry as POSCAR:
```
RbNa4I5
1.0
4.592 0.000 1.049
1.937 7.723 2.095
-0.036 -0.036 10.734
I Na Rb
5 4 1
Direct
0.207 0.903 0.682
0.389 0.340 0.882
0.611 0.660 0.118
0.793 0.097 0.318
0.000 0.500 0.500
0.596 0.209 0.599
0.800 0.613 0.786
0.200 0.387 0.214
0.404 0.791 0.401
0.000 0.000 0.000
```

* magnetization: 0.00 Bohr magnetons per cell
* calculated volume: 38.12 Å³/atom
* formation energy from raw total energies: -12.87 eV/f.u.


2.
First-principles (PBE) data for a geometry-optimized RbNaI2 structure, as listed in Alexandria via LeMat-Bulk.

Geometry as POSCAR:
```
RbNaI2
1.0
4.833 0.000 0.000
2.416 4.185 0.000
2.416 1.395 8.450
I Na Rb
2 1 1
Direct
0.262 0.262 0.214
0.071 0.071 0.786
0.668 0.668 0.996
0.499 0.499 0.503
```

* magnetization: 0.00 Bohr magnetons per cell
* calculated volume: 42.73 Å³/atom
* formation energy from raw total energies: -5.38 eV/f.u.
* energy relative to the lowest polymorph listed for this composition: 14 meV/atom


3.
First-principles (PBE) data for a geometry-optimized RbNa3I structure, as listed in Alexandria via LeMat-Bulk.

Geometry as POSCAR:
```
RbNa3I
1.0
-1.170 1.010 6.244
5.702 -2.578 1.485
2.736 5.805 -0.427
Na I Rb
3 1 1
Direct
0.000 0.500 0.000
0.000 0.000 0.500
0.500 0.000 0.000
0.000 0.000 0.000
0.500 0.500 0.500
```

* magnetization: 0.00 Bohr magnetons per cell
* calculated volume: 53.22 Å³/atom
* formation energy from raw total energies: -1.46 eV/f.u.
* energy relative to the lowest polymorph listed for this composition: 0 meV/atom


- What is the magnetization in the third record?
  0.00 Bohr magnetons per cell


- The lowest calculated volume belongs to which entry?
  RbNa4I5